The following is a GGA+U calculation of a relaxed structure of Y3CoO, from the Alexandria database.

**VASP energy**: -6.876 eV per atom
**M_tot**: 1.9 μB/f.u.

Cell: 4.7421 4.7421 4.7421 Å, 90.00 90.00 90.00°
Space group Pm-3m (No. 221)
One atom of each set of equivalent atoms:
Y: 0.0000 0.0000 0.5000 x3
Co: 0.5000 0.5000 0.5000 x1
O: 0.0000 0.0000 0.0000 x1